Entry 1:
Density functional theory data (GGA-PBE) for Tb8Sm6Tm after structural relaxation.

Values from the calculation:
Formation energy from the elements: 2.64 eV per formula unit
Crystal system: trigonal
Space-group type: P-3, No. 147
Raw total energy: -4.480 eV per atom
Fermi-level density of states: 22.269 states/eV/f.u.

```
Tb8Sm6Tm
1.0
9.392 0.000 0.000
-4.696 8.134 0.000
0.000 0.000 6.513
Tb Sm Tm
8 6 1
Direct
0.091 0.438 0.162
0.333 0.667 0.623
0.347 0.909 0.162
0.438 0.347 0.838
0.562 0.653 0.162
0.653 0.091 0.838
0.667 0.333 0.377
0.909 0.562 0.838
0.033 0.283 0.667
0.250 0.967 0.667
0.283 0.250 0.333
0.717 0.750 0.667
0.750 0.033 0.333
0.967 0.717 0.333
0.000 0.000 0.000
```



Entry 2:
Density functional theory data (GGA-PBE) for CuTe3Rh after structural relaxation.

Values from the calculation:
Crystal system: monoclinic
Space-group type: P2_1/c, No. 14
Raw total energy: -4.245 eV per atom
Fermi-level density of states: 2.871 states/eV/f.u.
Formation energy from raw total energies: -7 kJ/mol of atoms

```
CuTe3Rh
1.0
6.396 0.000 0.000
0.000 6.553 0.000
-4.923 0.000 11.130
Cu Te Rh
4 12 4
Direct
0.096 0.075 0.426
0.096 0.425 0.926
0.904 0.575 0.074
0.904 0.925 0.574
0.117 0.083 0.792
0.117 0.417 0.292
0.298 0.742 0.092
0.298 0.758 0.592
0.439 0.248 0.107
0.439 0.252 0.607
0.561 0.748 0.393
0.561 0.752 0.893
0.702 0.242 0.408
0.702 0.258 0.908
0.883 0.583 0.708
0.883 0.917 0.208
0.303 0.057 0.265
0.303 0.443 0.765
0.697 0.557 0.235
0.697 0.943 0.735
```



Entry 3:
Density functional theory data (GGA-PBE) for K3TlCr after structural relaxation.

Values from the calculation:
Formation energy from the elements: 3.50 eV per formula unit
Crystal system: cubic
Space-group type: Pm-3m, No. 221
Raw total energy: -2.356 eV per atom
Fermi-level density of states: 3.748 states/eV/f.u.

```
K3TlCr
1.0
6.583 0.000 0.000
0.000 6.583 0.000
0.000 0.000 6.583
K Tl Cr
3 1 1
Direct
0.000 0.000 0.500
0.000 0.500 0.000
0.500 0.000 0.000
0.500 0.500 0.500
0.000 0.000 0.000
```



Entry 4:
Density functional theory data (GGA-PBE) for Sm3Zr2UN6 after structural relaxation.

Values from the calculation:
Crystal system: monoclinic
Space-group type: C2/m, No. 12
Raw total energy: -9.302 eV per atom
Fermi-level density of states: 4.588 states/eV/f.u.
Formation energy from raw total energies: -154 kJ/mol of atoms

```
Sm3Zr2UN6
1.0
2.953 -5.122 0.000
2.953 5.122 0.000
-1.954 0.000 5.681
Sm Zr U N
3 2 1 6
Direct
0.000 0.000 0.000
0.331 0.669 0.000
0.669 0.331 0.000
0.167 0.833 0.500
0.833 0.167 0.500
0.500 0.500 0.500
0.101 0.428 0.282
0.246 0.246 0.715
0.428 0.101 0.282
0.572 0.899 0.718
0.754 0.754 0.285
0.899 0.572 0.718
```